Entry 1:
Material: Ho2ThO
Method: DFT, PBE
State: optimized geometry

energy above the lowest structure with this stoichiometry: 562 meV/atom
energy relative to the elements, uncorrected: -0.8114 eV/atom
crystal system: tetragonal
magnetic moment: 0.00 μB per atom

Unit cell a=3.235 b=3.235 c=8.445 alpha=90.00 beta=90.00 gamma=90.00
Space group P4/mmm (No. 123)
Inequivalent atoms, fractional coordinates:
Ho1 0.000 0.000 0.181 (multiplicity 2)
Th1 0.500 0.500 0.500 (multiplicity 1)
O1 0.500 0.500 0.000 (multiplicity 1)

=====

Entry 2:
Material: HoTh3O
Method: DFT, PBE
State: optimized geometry

energy relative to the elements, uncorrected: -1.0737 eV/atom
crystal system: cubic
magnetic moment: 0.00 μB per atom

Unit cell a=5.075 b=5.075 c=5.075 alpha=90.00 beta=90.00 gamma=90.00
Space group Pm-3m (No. 221)
Inequivalent atoms, fractional coordinates:
Ho1 0.000 0.000 0.000 (multiplicity 1)
Th1 0.000 0.500 0.500 (multiplicity 3)
O1 0.500 0.500 0.500 (multiplicity 1)

=====

Entry 3:
Material: Ho2ThO
Method: DFT, PBE
State: optimized geometry

energy above the lowest structure with this stoichiometry: 0 meV/atom
energy relative to the elements, uncorrected: -1.3738 eV/atom
crystal system: trigonal
magnetic moment: 0.00 μB per atom

Unit cell a=3.4834 b=3.4834 c=26.1887 alpha=90.00 beta=90.00 gamma=120.00
Space group R-3m (No. 166, hexagonal axes)
Inequivalent atoms, fractional coordinates:
Ho1 0.0000 0.0000 0.2193 (multiplicity 6)
Th1 0.0000 0.0000 0.0000 (multiplicity 3)
O1 0.0000 0.0000 0.5000 (multiplicity 3)

=====

Entry 4:
Material: HoThO
Method: DFT, PBE
State: optimized geometry

energy relative to the elements, uncorrected: -1.6509 eV/atom
crystal system: trigonal
magnetic moment: 0.00 μB per atom

Unit cell a=3.6627 b=3.6627 c=5.7655 alpha=90.00 beta=90.00 gamma=120.00
Space group P3m1 (No. 156)
Inequivalent atoms, fractional coordinates:
Ho1 0.0000 0.0000 0.0000 (multiplicity 1)
Th1 0.6667 0.3333 0.5333 (multiplicity 1)
O1 0.3333 0.6667 0.7797 (multiplicity 1)